# GGA-PBE Na3Pm5Ag12, optimized geometry
data_Na3Pm5Ag12
_cell_length_a 16.931
_cell_length_b 16.931
_cell_length_c 16.931
_cell_angle_alpha 90.00
_cell_angle_beta 90.00
_cell_angle_gamma 90.00
_symmetry_space_group_name_H-M 'I a -3 d'
_symmetry_Int_Tables_number 230
_symmetry_space_group_name_Hall '-I 4bd 2c 3'
loop_
_atom_site_label
_atom_site_fract_x
_atom_site_fract_y
_atom_site_fract_z
Na1 0.000 0.250 0.125
Pm1 0.000 0.000 0.000
Pm2 0.000 0.250 0.375
Ag1 0.002 0.083 0.653
# E_form	323	meV per atom
# calculated density	5.7	g/cm³

# GGA-PBE NaPm4Ag5, optimized geometry
data_NaPm4Ag5
_cell_length_a 3.672
_cell_length_b 3.672
_cell_length_c 18.932
_cell_angle_alpha 90.00
_cell_angle_beta 90.00
_cell_angle_gamma 90.00
_symmetry_space_group_name_H-M 'P 4/m m m'
_symmetry_Int_Tables_number 123
_symmetry_space_group_name_Hall '-P 4 2'
loop_
_atom_site_label
_atom_site_fract_x
_atom_site_fract_y
_atom_site_fract_z
Na1 0.000 0.000 0.000
Pm1 0.000 0.000 0.196
Pm2 0.000 0.000 0.399
Ag1 0.500 0.500 0.099
Ag2 0.500 0.500 0.298
Ag3 0.500 0.500 0.500
# E_form	-202	meV per atom
# calculated density	7.4	g/cm³

# GGA-PBE NaPmAg, optimized geometry
data_NaPmAg
_cell_length_a 3.726
_cell_length_b 3.726
_cell_length_c 26.571
_cell_angle_alpha 90.00
_cell_angle_beta 90.00
_cell_angle_gamma 90.00
_symmetry_space_group_name_H-M 'I 4/m m m'
_symmetry_Int_Tables_number 139
_symmetry_space_group_name_Hall '-I 4 2'
loop_
_atom_site_label
_atom_site_fract_x
_atom_site_fract_y
_atom_site_fract_z
Na1 0.000 0.000 0.067
Pm1 0.000 0.000 0.202
Ag1 0.000 0.000 0.362
# E_form	-54	meV per atom
# excess energy over the best structure of this formula in the dataset	0.00	eV/f.u.
# calculated density	5.0	g/cm³

# GGA-PBE NaPmAg, optimized geometry
data_NaPmAg
_cell_length_a 5.1600
_cell_length_b 5.1600
_cell_length_c 3.3912
_cell_angle_alpha 90.00
_cell_angle_beta 90.00
_cell_angle_gamma 120.00
_symmetry_space_group_name_H-M 'P 3 m 1'
_symmetry_Int_Tables_number 156
loop_
_symmetry_equiv_pos_as_xyz
'x,y,z'
'-y,x-y,z'
'-x+y,-x,z'
'-y,-x,z'
'-x+y,y,z'
'x,x-y,z'
loop_
_atom_site_label
_atom_site_fract_x
_atom_site_fract_y
_atom_site_fract_z
Na1 0.0000 0.0000 0.0000
Pm1 0.6667 0.3333 0.5011
Ag1 0.3333 0.6667 0.0023
# E_form	83	meV per atom
# excess energy over the best structure of this formula in the dataset	0.41	eV/f.u.
# calculated density	5.9	g/cm³

# GGA-PBE NaPmAg2, optimized geometry
data_NaPmAg2
_cell_length_a 3.3542
_cell_length_b 3.3542
_cell_length_c 30.4738
_cell_angle_alpha 90.00
_cell_angle_beta 90.00
_cell_angle_gamma 120.00
_symmetry_space_group_name_H-M 'R -3 m'
_symmetry_Int_Tables_number 166
_symmetry_space_group_name_Hall '-R 3 2"'
loop_
_atom_site_label
_atom_site_fract_x
_atom_site_fract_y
_atom_site_fract_z
Na1 0.0000 0.0000 0.0000
Pm1 0.0000 0.0000 0.5000
Ag1 0.0000 0.0000 0.2506
# E_form	60	meV per atom
# excess energy over the best structure of this formula in the dataset	0.70	eV/f.u.
# calculated density	6.4	g/cm³

# GGA-PBE Na2PmAg, optimized geometry
data_Na2PmAg
_cell_length_a 3.3477
_cell_length_b 3.3477
_cell_length_c 35.2744
_cell_angle_alpha 90.00
_cell_angle_beta 90.00
_cell_angle_gamma 120.00
_symmetry_space_group_name_H-M 'R -3 m'
_symmetry_Int_Tables_number 166
_symmetry_space_group_name_Hall '-R 3 2"'
loop_
_atom_site_label
_atom_site_fract_x
_atom_site_fract_y
_atom_site_fract_z
Na1 0.0000 0.0000 0.0973
Pm1 0.0000 0.0000 0.0000
Ag1 0.0000 0.0000 0.5000
# E_form	206	meV per atom
# calculated density	4.3	g/cm³

# GGA-PBE NaPmAg2, optimized geometry
data_NaPmAg2
_cell_length_a 7.287
_cell_length_b 7.287
_cell_length_c 7.287
_cell_angle_alpha 90.00
_cell_angle_beta 90.00
_cell_angle_gamma 90.00
_symmetry_space_group_name_H-M 'F m -3 m'
_symmetry_Int_Tables_number 225
_symmetry_space_group_name_Hall '-F 4 2 3'
loop_
_atom_site_label
_atom_site_fract_x
_atom_site_fract_y
_atom_site_fract_z
Na1 0.000 0.000 0.000
Pm1 0.000 0.000 0.500
Ag1 0.250 0.250 0.250
# E_form	-116	meV per atom
# excess energy over the best structure of this formula in the dataset	0.00	eV/f.u.
# calculated density	6.6	g/cm³

# GGA-PBE NaPmAg2, optimized geometry
data_NaPmAg2
_cell_length_a 3.703
_cell_length_b 3.703
_cell_length_c 7.386
_cell_angle_alpha 90.00
_cell_angle_beta 90.00
_cell_angle_gamma 90.00
_symmetry_space_group_name_H-M 'P 4/m m m'
_symmetry_Int_Tables_number 123
_symmetry_space_group_name_Hall '-P 4 2'
loop_
_atom_site_label
_atom_site_fract_x
_atom_site_fract_y
_atom_site_fract_z
Na1 0.000 0.000 0.000
Pm1 0.000 0.000 0.500
Ag1 0.500 0.500 0.261
# E_form	-114	meV per atom
# excess energy over the best structure of this formula in the dataset	0.01	eV/f.u.
# calculated density	6.3	g/cm³

# GGA-PBE NaPm5Ag4, optimized geometry
data_NaPm5Ag4
_cell_length_a 3.707
_cell_length_b 3.707
_cell_length_c 20.296
_cell_angle_alpha 90.00
_cell_angle_beta 90.00
_cell_angle_gamma 90.00
_symmetry_space_group_name_H-M 'P 4/m m m'
_symmetry_Int_Tables_number 123
_symmetry_space_group_name_Hall '-P 4 2'
loop_
_atom_site_label
_atom_site_fract_x
_atom_site_fract_y
_atom_site_fract_z
Na1 0.000 0.000 0.000
Pm1 0.500 0.500 0.132
Pm2 0.500 0.500 0.314
Pm3 0.500 0.500 0.500
Ag1 0.000 0.000 0.220
Ag2 0.000 0.000 0.407
# E_form	-149	meV per atom
# calculated density	7.0	g/cm³

# GGA-PBE NaPmAg, optimized geometry
data_NaPmAg
_cell_length_a 3.594
_cell_length_b 3.594
_cell_length_c 13.266
_cell_angle_alpha 90.00
_cell_angle_beta 90.00
_cell_angle_gamma 90.00
_symmetry_space_group_name_H-M 'I 4 m m'
_symmetry_Int_Tables_number 107
_symmetry_space_group_name_Hall 'I 4 -2'
loop_
_atom_site_label
_atom_site_fract_x
_atom_site_fract_y
_atom_site_fract_z
Na1 0.000 0.000 0.000
Pm1 0.000 0.000 0.281
Ag1 0.000 0.000 0.643
# E_form	26	meV per atom
# excess energy over the best structure of this formula in the dataset	0.24	eV/f.u.
# calculated density	5.3	g/cm³

# GGA-PBE NaPmPrAg, optimized geometry
data_NaPmPrAg
_cell_length_a 7.736
_cell_length_b 7.736
_cell_length_c 7.736
_cell_angle_alpha 90.00
_cell_angle_beta 90.00
_cell_angle_gamma 90.00
_symmetry_space_group_name_H-M 'F -4 3 m'
_symmetry_Int_Tables_number 216
_symmetry_space_group_name_Hall 'F -4 2 3'
loop_
_atom_site_label
_atom_site_fract_x
_atom_site_fract_y
_atom_site_fract_z
Na1 0.000 0.000 0.000
Pm1 0.250 0.250 0.250
Pr1 0.250 0.250 0.750
Ag1 0.000 0.000 0.500
# E_form	90	meV per atom
# calculated density	6.0	g/cm³

# GGA-PBE NaPmAgRh, optimized geometry
data_NaPmAgRh
_cell_length_a 7.023
_cell_length_b 7.023
_cell_length_c 7.023
_cell_angle_alpha 90.00
_cell_angle_beta 90.00
_cell_angle_gamma 90.00
_symmetry_space_group_name_H-M 'F -4 3 m'
_symmetry_Int_Tables_number 216
_symmetry_space_group_name_Hall 'F -4 2 3'
loop_
_atom_site_label
_atom_site_fract_x
_atom_site_fract_y
_atom_site_fract_z
Na1 0.000 0.000 0.000
Pm1 0.000 0.000 0.500
Ag1 0.250 0.250 0.250
Rh1 0.250 0.250 0.750
# E_form	-133	meV per atom
# calculated density	7.3	g/cm³

# GGA-PBE NaPm2AgS4, optimized geometry
data_NaPm2AgS4
_cell_length_a 7.994
_cell_length_b 8.179
_cell_length_c 11.571
_cell_angle_alpha 90.00
_cell_angle_beta 90.00
_cell_angle_gamma 90.00
_symmetry_space_group_name_H-M 'I m m a'
_symmetry_Int_Tables_number 74
_symmetry_space_group_name_Hall '-I 2b 2'
loop_
_atom_site_label
_atom_site_fract_x
_atom_site_fract_y
_atom_site_fract_z
Na1 0.250 0.250 0.250
Pm1 0.000 0.000 0.000
Pm2 0.250 0.250 0.750
Ag1 0.000 0.000 0.500
S1 0.000 0.009 0.757
S2 0.246 0.250 0.995
# formation energy (no corrections)	-1.52	eV per atom
# calculated density	4.8	g/cm³

# GGA-PBE NaPmAgSb, optimized geometry
data_NaPmAgSb
_cell_length_a 7.452
_cell_length_b 7.452
_cell_length_c 7.452
_cell_angle_alpha 90.00
_cell_angle_beta 90.00
_cell_angle_gamma 90.00
_symmetry_space_group_name_H-M 'F -4 3 m'
_symmetry_Int_Tables_number 216
_symmetry_space_group_name_Hall 'F -4 2 3'
loop_
_atom_site_label
_atom_site_fract_x
_atom_site_fract_y
_atom_site_fract_z
Na1 0.000 0.000 0.000
Pm1 0.000 0.000 0.500
Ag1 0.250 0.250 0.750
Sb1 0.250 0.250 0.250
# formation energy (no corrections)	-0.47	eV per atom
# calculated density	6.4	g/cm³

# GGA-PBE NaPm2AgSe4, optimized geometry
data_NaPm2AgSe4
_cell_length_a 7.197
_cell_length_b 4.257
_cell_length_c 7.372
_cell_angle_alpha 90.00
_cell_angle_beta 110.77
_cell_angle_gamma 90.00
_symmetry_space_group_name_H-M 'P 1 2/m 1'
_symmetry_Int_Tables_number 10
loop_
_symmetry_equiv_pos_as_xyz
'x,y,z'
'-x,-y,-z'
'-x,y,-z'
'x,-y,z'
loop_
_atom_site_label
_atom_site_fract_x
_atom_site_fract_y
_atom_site_fract_z
Na1 0.000 0.000 0.000
Pm1 0.500 0.000 0.500
Pm2 0.500 0.500 0.000
Ag1 0.000 0.500 0.500
Se1 0.253 0.000 0.747
Se2 0.259 0.500 0.251
# formation energy (no corrections)	-1.42	eV per atom
# calculated density	5.8	g/cm³

# GGA-PBE NaPm2AgTe4, optimized geometry
data_NaPm2AgTe4
_cell_length_a 7.753
_cell_length_b 4.503
_cell_length_c 7.798
_cell_angle_alpha 90.00
_cell_angle_beta 110.46
_cell_angle_gamma 90.00
_symmetry_space_group_name_H-M 'P 1 2/m 1'
_symmetry_Int_Tables_number 10
loop_
_symmetry_equiv_pos_as_xyz
'x,y,z'
'-x,-y,-z'
'-x,y,-z'
'x,-y,z'
loop_
_atom_site_label
_atom_site_fract_x
_atom_site_fract_y
_atom_site_fract_z
Na1 0.000 0.000 0.000
Pm1 0.500 0.000 0.500
Pm2 0.500 0.500 0.000
Ag1 0.000 0.500 0.500
Te1 0.246 0.000 0.742
Te2 0.254 0.500 0.251
# formation energy (no corrections)	-1.08	eV per atom
# calculated density	6.1	g/cm³

# GGA-PBE NaPm3Ag2Te6, optimized geometry
data_NaPm3Ag2Te6
_cell_length_a 19.658
_cell_length_b 4.580
_cell_length_c 9.345
_cell_angle_alpha 90.00
_cell_angle_beta 104.03
_cell_angle_gamma 90.00
_symmetry_space_group_name_H-M 'C 1 2/m 1'
_symmetry_Int_Tables_number 12
loop_
_symmetry_equiv_pos_as_xyz
'x,y,z'
'-x,-y,-z'
'-x,y,-z'
'x,-y,z'
'x+1/2,y+1/2,z'
'-x+1/2,-y+1/2,-z'
'-x+1/2,y+1/2,-z'
'x+1/2,-y+1/2,z'
loop_
_atom_site_label
_atom_site_fract_x
_atom_site_fract_y
_atom_site_fract_z
Na1 0.000 0.000 0.000
Pm1 0.000 0.000 0.500
Pm2 0.172 0.500 0.842
Ag1 0.124 0.500 0.451
Te1 0.004 0.500 0.745
Te2 0.166 0.000 0.069
Te3 0.175 0.000 0.600
# formation energy (no corrections)	-1.02	eV per atom
# calculated density	5.9	g/cm³

# GGA-PBE NaPr4Ag5, optimized geometry
data_NaPr4Ag5
_cell_length_a 3.716
_cell_length_b 3.716
_cell_length_c 19.054
_cell_angle_alpha 90.00
_cell_angle_beta 90.00
_cell_angle_gamma 90.00
_symmetry_space_group_name_H-M 'P 4/m m m'
_symmetry_Int_Tables_number 123
_symmetry_space_group_name_Hall '-P 4 2'
loop_
_atom_site_label
_atom_site_fract_x
_atom_site_fract_y
_atom_site_fract_z
Na1 0.000 0.000 0.000
Pr1 0.000 0.000 0.192
Pr2 0.000 0.000 0.398
Ag1 0.500 0.500 0.092
Ag2 0.500 0.500 0.295
Ag3 0.500 0.500 0.500
# E_form	-182	meV per atom
# calculated density	7.1	g/cm³

# GGA-PBE NaPr5Ag4, optimized geometry
data_NaPr5Ag4
_cell_length_a 3.757
_cell_length_b 3.757
_cell_length_c 20.572
_cell_angle_alpha 90.00
_cell_angle_beta 90.00
_cell_angle_gamma 90.00
_symmetry_space_group_name_H-M 'P 4/m m m'
_symmetry_Int_Tables_number 123
_symmetry_space_group_name_Hall '-P 4 2'
loop_
_atom_site_label
_atom_site_fract_x
_atom_site_fract_y
_atom_site_fract_z
Na1 0.000 0.000 0.000
Pr1 0.500 0.500 0.131
Pr2 0.500 0.500 0.314
Pr3 0.500 0.500 0.500
Ag1 0.000 0.000 0.219
Ag2 0.000 0.000 0.407
# E_form	-136	meV per atom
# calculated density	6.6	g/cm³

# GGA-PBE NaPr3Ag4, optimized geometry
data_NaPr3Ag4
_cell_length_a 5.2883
_cell_length_b 5.2883
_cell_length_c 26.0393
_cell_angle_alpha 90.00
_cell_angle_beta 90.00
_cell_angle_gamma 120.00
_symmetry_space_group_name_H-M 'R -3 m'
_symmetry_Int_Tables_number 166
_symmetry_space_group_name_Hall '-R 3 2"'
loop_
_atom_site_label
_atom_site_fract_x
_atom_site_fract_y
_atom_site_fract_z
Na1 0.0000 0.0000 0.0000
Pr1 0.0000 0.0000 0.2544
Pr2 0.0000 0.0000 0.5000
Ag1 0.0000 0.0000 0.1294
Ag2 0.0000 0.0000 0.3776
# E_form	-176	meV per atom
# calculated density	6.9	g/cm³

# GGA-PBE NaPr2AgS4, optimized geometry
data_NaPr2AgS4
_cell_length_a 11.532
_cell_length_b 11.742
_cell_length_c 8.069
_cell_angle_alpha 90.00
_cell_angle_beta 134.24
_cell_angle_gamma 90.00
_symmetry_space_group_name_H-M 'C 1 2/c 1'
_symmetry_Int_Tables_number 15
loop_
_symmetry_equiv_pos_as_xyz
'x,y,z'
'-x,-y,-z'
'-x,y,-z+1/2'
'x,-y,z+1/2'
'x+1/2,y+1/2,z'
'-x+1/2,-y+1/2,-z'
'-x+1/2,y+1/2,-z+1/2'
'x+1/2,-y+1/2,z+1/2'
loop_
_atom_site_label
_atom_site_fract_x
_atom_site_fract_y
_atom_site_fract_z
Na1 0.000 0.000 0.000
Pr1 0.000 0.500 0.000
Pr2 0.250 0.250 0.000
Ag1 0.250 0.250 0.500
S1 0.001 0.254 0.502
S2 0.243 0.493 0.993
# formation energy (no corrections)	-1.49	eV per atom
# calculated density	4.6	g/cm³

# GGA-PBE NaPrAg2Sb2, optimized geometry
data_NaPrAg2Sb2
_cell_length_a 4.7429
_cell_length_b 4.7429
_cell_length_c 8.0085
_cell_angle_alpha 90.00
_cell_angle_beta 90.00
_cell_angle_gamma 120.00
_symmetry_space_group_name_H-M 'P -3 m 1'
_symmetry_Int_Tables_number 164
_symmetry_space_group_name_Hall '-P 3 2"'
loop_
_atom_site_label
_atom_site_fract_x
_atom_site_fract_y
_atom_site_fract_z
Na1 0.0000 0.0000 0.0000
Pr1 0.0000 0.0000 0.5000
Ag1 0.3333 0.6667 0.2338
Sb1 0.3333 0.6667 0.7370
# formation energy (no corrections)	-0.54	eV per atom
# calculated density	6.6	g/cm³